[1]
The following is a DFT calculation (GGA-PBE) of an optimized crystal structure of Ba4CrNi.

The space group is F-43m (No. 216) and the conventional cell measures 10.0565, 10.0565 and 10.0565 Å, with angles of 90.00, 90.00 and 90.00 degrees. The distinct sites, in fractional coordinates, are Ba at (0.1245, 0.1245, 0.3755), Cr at (0.0000, 0.0000, 0.0000) and Ni at (0.2500, 0.2500, 0.7500).



[2]
The following is a DFT calculation (GGA-PBE) of an optimized crystal structure of Ba2CrNi.

The space group is R-3m (No. 166, hexagonal axes) and the conventional cell measures 4.4211, 4.4211 and 26.0691 Å, with angles of 90.00, 90.00 and 120.00 degrees. The distinct sites, in fractional coordinates, are Ba at (0.0000, 0.0000, 0.2351), Cr at (0.0000, 0.0000, 0.0000) and Ni at (0.0000, 0.0000, 0.5000).



The evaluated formation energy from the elements for the records listed, in turn: 106.7; 62.0 kJ/mol of atoms.